Run one
DFT (GGA-PBE) results for crystalline Nd4CoPd at its relaxed geometry.

Output
Spin magnetization in μB per cell: 0.00
Crystal system: monoclinic

```
data_Nd4CoPd
_chemical_formula_sum 'Nd16 Co4 Pd4'
_cell_length_a 8.575
_cell_length_b 12.319
_cell_length_c 6.378
_cell_angle_alpha 90.00
_cell_angle_beta 103.47
_cell_angle_gamma 90.00
_space_group_name_H-M_alt 'C 1 2/c 1'
_space_group_IT_number 15
_space_group_name_Hall '-C 2yc'
loop_
_atom_site_label
_atom_site_type_symbol
_atom_site_fract_x
_atom_site_fract_y
_atom_site_fract_z
Nd1 Nd 0.101 0.166 0.027
Nd2 Nd 0.190 0.418 0.431
Co1 Co 0.000 0.001 0.250
Pd1 Pd 0.000 0.373 0.750
```


Run two
DFT (GGA-PBE) results for crystalline Nd4CoPd at its relaxed geometry.

Output
Spin magnetization in μB per cell: 0.00
Crystal system: monoclinic

```
data_Nd4CoPd
_chemical_formula_sum 'Nd16 Co4 Pd4'
_cell_length_a 9.093
_cell_length_b 14.319
_cell_length_c 6.904
_cell_angle_alpha 90.00
_cell_angle_beta 128.94
_cell_angle_gamma 90.00
_space_group_name_H-M_alt 'C 1 2/c 1'
_space_group_IT_number 15
_space_group_name_Hall '-C 2yc'
loop_
_atom_site_label
_atom_site_type_symbol
_atom_site_fract_x
_atom_site_fract_y
_atom_site_fract_z
Nd1 Nd 0.163 0.215 0.162
Nd2 Nd 0.243 0.034 0.747
Co1 Co 0.000 0.089 0.250
Pd1 Pd 0.000 0.375 0.750
```


Most favorable structure: run one. The second most favorable one is 0.042 eV/atom above it.


Run one
DFT (GGA-PBE) results for crystalline NdThCoPd at its relaxed geometry.

Output
Spin magnetization in μB per cell: 1.08
Crystal system: cubic

```
data_NdThCoPd
_chemical_formula_sum 'Nd4 Th4 Co4 Pd4'
_cell_length_a 7.105
_cell_length_b 7.105
_cell_length_c 7.105
_cell_angle_alpha 90.00
_cell_angle_beta 90.00
_cell_angle_gamma 90.00
_space_group_name_H-M_alt 'F -4 3 m'
_space_group_IT_number 216
_space_group_name_Hall 'F -4 2 3'
loop_
_atom_site_label
_atom_site_type_symbol
_atom_site_fract_x
_atom_site_fract_y
_atom_site_fract_z
Nd1 Nd 0.000 0.000 0.000
Th1 Th 0.000 0.000 0.500
Co1 Co 0.250 0.250 0.250
Pd1 Pd 0.250 0.250 0.750
```


Run two
DFT (GGA-PBE) results for crystalline NdThCoPd at its relaxed geometry.

Output
Spin magnetization in μB per cell: 0.00
Crystal system: orthorhombic

```
data_NdThCoPd
_chemical_formula_sum 'Nd2 Th2 Co2 Pd2'
_cell_length_a 4.036
_cell_length_b 3.878
_cell_length_c 11.696
_cell_angle_alpha 90.00
_cell_angle_beta 90.00
_cell_angle_gamma 90.00
_space_group_name_H-M_alt 'A m m 2'
_space_group_IT_number 38
_space_group_name_Hall 'A 2 -2'
loop_
_atom_site_label
_atom_site_type_symbol
_atom_site_fract_x
_atom_site_fract_y
_atom_site_fract_z
Nd1 Nd 0.000 0.000 0.000
Th1 Th 0.500 0.000 0.721
Co1 Co 0.000 0.000 0.250
Pd1 Pd 0.500 0.000 0.427
```


Most favorable structure: run two. The second most favorable one is 0.179 eV/atom above it.


Run one
DFT (GGA-PBE) results for crystalline Pm2NdCo at its relaxed geometry.

Output
Spin magnetization in μB per cell: 1.20
Crystal system: trigonal

```
data_Pm2NdCo
_chemical_formula_sum 'Pm6 Nd3 Co3'
_cell_length_a 3.7037
_cell_length_b 3.7037
_cell_length_c 31.4611
_cell_angle_alpha 90.00
_cell_angle_beta 90.00
_cell_angle_gamma 120.00
_space_group_name_H-M_alt 'R -3 m'
_space_group_IT_number 166
_space_group_name_Hall '-R 3 2"'
loop_
_atom_site_label
_atom_site_type_symbol
_atom_site_fract_x
_atom_site_fract_y
_atom_site_fract_z
Pm1 Pm 0.0000 0.0000 0.1142
Nd1 Nd 0.0000 0.0000 0.0000
Co1 Co 0.0000 0.0000 0.5000
```


Run two
DFT (GGA-PBE) results for crystalline Pm2NdCo at its relaxed geometry.

Output
Spin magnetization in μB per cell: 0.00
Crystal system: trigonal

```
data_Pm2NdCo
_chemical_formula_sum 'Pm6 Nd3 Co3'
_cell_length_a 3.8637
_cell_length_b 3.8637
_cell_length_c 27.7799
_cell_angle_alpha 90.00
_cell_angle_beta 90.00
_cell_angle_gamma 120.00
_space_group_name_H-M_alt 'R 3 m'
_space_group_IT_number 160
_space_group_name_Hall 'R 3 -2"'
loop_
_atom_site_label
_atom_site_type_symbol
_atom_site_fract_x
_atom_site_fract_y
_atom_site_fract_z
Pm1 Pm 0.0000 0.0000 0.0000
Pm2 Pm 0.0000 0.0000 0.2210
Nd1 Nd 0.0000 0.0000 0.4451
Co1 Co 0.0000 0.0000 0.6103
```


Most favorable structure: run two. The second most favorable one is 0.149 eV/atom above it.


Run one
DFT (GGA-PBE) results for crystalline Pm2NdCo at its relaxed geometry.

Output
Spin magnetization in μB per cell: 0.00
Crystal system: orthorhombic

```
data_Pm2NdCo
_chemical_formula_sum 'Pm8 Nd4 Co4'
_cell_length_a 3.746
_cell_length_b 12.169
_cell_length_c 9.877
_cell_angle_alpha 90.00
_cell_angle_beta 90.00
_cell_angle_gamma 90.00
_space_group_name_H-M_alt 'C m c m'
_space_group_IT_number 63
_space_group_name_Hall '-C 2c 2'
loop_
_atom_site_label
_atom_site_type_symbol
_atom_site_fract_x
_atom_site_fract_y
_atom_site_fract_z
Pm1 Pm 0.000 0.139 0.073
Nd1 Nd 0.000 0.410 0.250
Co1 Co 0.000 0.264 0.750
```


Run two
DFT (GGA-PBE) results for crystalline Pm2NdCo at its relaxed geometry.

Output
Spin magnetization in μB per cell: 0.00
Crystal system: orthorhombic

```
data_Pm2NdCo
_chemical_formula_sum 'Pm8 Nd4 Co4'
_cell_length_a 7.088
_cell_length_b 9.833
_cell_length_c 6.420
_cell_angle_alpha 90.00
_cell_angle_beta 90.00
_cell_angle_gamma 90.00
_space_group_name_H-M_alt 'P n m a'
_space_group_IT_number 62
_space_group_name_Hall '-P 2ac 2n'
loop_
_atom_site_label
_atom_site_type_symbol
_atom_site_fract_x
_atom_site_fract_y
_atom_site_fract_z
Pm1 Pm 0.170 0.070 0.176
Nd1 Nd 0.045 0.250 0.646
Co1 Co 0.115 0.750 0.938
```


Run three
DFT (GGA-PBE) results for crystalline Pm2NdCo at its relaxed geometry.

Output
Spin magnetization in μB per cell: 0.92
Crystal system: tetragonal

```
data_Pm2NdCo
_chemical_formula_sum 'Pm2 Nd1 Co1'
_cell_length_a 3.500
_cell_length_b 3.500
_cell_length_c 9.168
_cell_angle_alpha 90.00
_cell_angle_beta 90.00
_cell_angle_gamma 90.00
_space_group_name_H-M_alt 'P 4/m m m'
_space_group_IT_number 123
_space_group_name_Hall '-P 4 2'
loop_
_atom_site_label
_atom_site_type_symbol
_atom_site_fract_x
_atom_site_fract_y
_atom_site_fract_z
Pm1 Pm 0.000 0.000 0.180
Nd1 Nd 0.500 0.500 0.500
Co1 Co 0.500 0.500 0.000
```


Most favorable structure: run two. The second most favorable one is 0.021 eV/atom above it.


Run one
DFT (GGA-PBE) results for crystalline Pm4NdCo2 at its relaxed geometry.

Output
Spin magnetization in μB per cell: 1.47
Crystal system: orthorhombic

```
data_Pm4NdCo2
_chemical_formula_sum 'Pm8 Nd2 Co4'
_cell_length_a 4.747
_cell_length_b 16.975
_cell_length_c 4.724
_cell_angle_alpha 90.00
_cell_angle_beta 90.00
_cell_angle_gamma 90.00
_space_group_name_H-M_alt 'C m m m'
_space_group_IT_number 65
_space_group_name_Hall '-C 2 2'
loop_
_atom_site_label
_atom_site_type_symbol
_atom_site_fract_x
_atom_site_fract_y
_atom_site_fract_z
Pm1 Pm 0.000 0.160 0.000
Pm2 Pm 0.000 0.335 0.500
Nd1 Nd 0.000 0.500 0.000
Co1 Co 0.000 0.065 0.500
```


Run two
DFT (GGA-PBE) results for crystalline Pm4NdCo2 at its relaxed geometry.

Output
Spin magnetization in μB per cell: 0.00
Crystal system: monoclinic

```
data_Pm4NdCo2
_chemical_formula_sum 'Pm8 Nd2 Co4'
_cell_length_a 6.993
_cell_length_b 6.720
_cell_length_c 8.949
_cell_angle_alpha 90.00
_cell_angle_beta 112.97
_cell_angle_gamma 90.00
_space_group_name_H-M_alt 'P 1 21/m 1'
_space_group_IT_number 11
_space_group_name_Hall '-P 2yb'
loop_
_atom_site_label
_atom_site_type_symbol
_atom_site_fract_x
_atom_site_fract_y
_atom_site_fract_z
Pm1 Pm 0.023 0.250 0.291
Pm2 Pm 0.282 0.000 0.065
Pm3 Pm 0.333 0.750 0.500
Nd1 Nd 0.232 0.250 0.707
Co1 Co 0.039 0.750 0.164
Co2 Co 0.375 0.750 0.836
```


Most favorable structure: run two. The second most favorable one is 0.146 eV/atom above it.


Run one
DFT (GGA-PBE) results for crystalline PmNdCo4 at its relaxed geometry.

Output
Spin magnetization in μB per cell: 15.14
Crystal system: cubic

```
data_PmNdCo4
_chemical_formula_sum 'Pm4 Nd4 Co16'
_cell_length_a 7.305
_cell_length_b 7.305
_cell_length_c 7.305
_cell_angle_alpha 90.00
_cell_angle_beta 90.00
_cell_angle_gamma 90.00
_space_group_name_H-M_alt 'F -4 3 m'
_space_group_IT_number 216
_space_group_name_Hall 'F -4 2 3'
loop_
_atom_site_label
_atom_site_type_symbol
_atom_site_fract_x
_atom_site_fract_y
_atom_site_fract_z
Pm1 Pm 0.000 0.000 0.000
Nd1 Nd 0.250 0.250 0.250
Co1 Co 0.125 0.125 0.625
```


Run two
DFT (GGA-PBE) results for crystalline PmNdCo4 at its relaxed geometry.

Output
Spin magnetization in μB per cell: 5.66
Crystal system: orthorhombic

```
data_PmNdCo4
_chemical_formula_sum 'Pm2 Nd2 Co8'
_cell_length_a 3.893
_cell_length_b 6.752
_cell_length_c 8.380
_cell_angle_alpha 90.00
_cell_angle_beta 90.00
_cell_angle_gamma 90.00
_space_group_name_H-M_alt 'I m m m'
_space_group_IT_number 71
_space_group_name_Hall '-I 2 2'
loop_
_atom_site_label
_atom_site_type_symbol
_atom_site_fract_x
_atom_site_fract_y
_atom_site_fract_z
Pm1 Pm 0.000 0.000 0.000
Nd1 Nd 0.000 0.000 0.500
Co1 Co 0.000 0.333 0.251
```


Most favorable structure: run two. The second most favorable one is 0.039 eV/atom above it.